KZr2S4 | PBE | relaxed

Output
- total moment (μB per formula unit) = 0.00
- formation energy without anion corrections (eV/atom) = -1.5791
- N(E_F) (states/eV per cell) = 3.084
- crystal system = monoclinic
- space-group type = C2/m, No. 12
- raw total energy (eV/atom) = -6.54

a = 3.7024 Å, b = 6.3067 Å, c = 8.6284 Å
α = 109.99°, β = 102.39°, γ = 90.00°
Closest atoms and distances in Å follow each position.
Fractional coordinates of all 7 atoms:
K  0.5000  0.5000  0.0000  6 S 3.21-3.27
Zr  0.2470  0.2436  0.4941  6 S 2.59-2.63
Zr  0.7530  0.7564  0.5059  6 S 2.59-2.63
S  0.6530  0.9916  0.3059  3 Zr 2.59-2.61
S  0.3470  0.0084  0.6941  3 Zr 2.59-2.61
S  0.1553  0.4993  0.3106  3 Zr 2.60-2.63
S  0.8447  0.5007  0.6894  3 Zr 2.60-2.63

KZr6S12 | PBE | relaxed

Output
- total moment (μB per formula unit) = 0.00
- formation energy without anion corrections (eV/atom) = -1.2716
- N(E_F) (states/eV per cell) = 7.544
- crystal system = trigonal
- space-group type = R-3m, No. 166
- raw total energy (eV/atom) = -6.64

a = 7.8765 Å, b = 7.8765 Å, c = 7.8765 Å
α = 106.17°, β = 106.17°, γ = 106.17°
Closest atoms and distances in Å follow each position.
Fractional coordinates of all 19 atoms:
K  0.0000  0.0000  0.0000  6 S 3.70
Zr  0.6482  0.2574  0.2574  5 S 2.55-2.67
Zr  0.2574  0.2574  0.6482  5 S 2.55-2.67
Zr  0.2574  0.6482  0.2574  5 S 2.55-2.67
Zr  0.7426  0.7426  0.3518  5 S 2.55-2.67
Zr  0.3518  0.7426  0.7426  5 S 2.55-2.67
Zr  0.7426  0.3518  0.7426  5 S 2.55-2.67
S  0.8754  0.1246  0.5000  4 Zr 2.67-2.86
S  0.8329  0.5640  0.5640  3 Zr 2.55-2.57
S  0.5640  0.5640  0.8329  3 Zr 2.55-2.57
S  0.4360  0.1671  0.4360  3 Zr 2.55-2.57
S  0.4360  0.4360  0.1671  3 Zr 2.55-2.57
S  0.1671  0.4360  0.4360  3 Zr 2.55-2.57
S  0.1246  0.5000  0.8754  4 Zr 2.67-2.86
S  0.5000  0.8754  0.1246  4 Zr 2.67-2.86
S  0.1246  0.8754  0.5000  4 Zr 2.67-2.86
S  0.8754  0.5000  0.1246  4 Zr 2.67-2.86
S  0.5000  0.1246  0.8754  4 Zr 2.67-2.86
S  0.5640  0.8329  0.5640  3 Zr 2.55-2.57

Question: Which formula does entry 2 have?
Answer: KZr6S12

Question: Number 1 is which compound?
Answer: KZr2S4